1.
10
Lattice="5.678 -2.286 0.000 5.678 2.286 0.000 -4.868 0.000 10.158" Properties=species:S:1:pos:R:3 comment="Ca2GaHg2 GGA-PBE optimized geometry" polymorph_energy_ev_per_fu=0.00 ef_ev_per_atom=-0.47 sg=C2/m e_tot_ev_per_atom=-1.997 pbc="T T T"
Ca -1.495 0.000 3.472
Ca 1.602 0.000 1.094
Ca 4.886 0.000 9.064
Ca 7.982 0.000 6.686
Ga -0.032 0.000 6.737
Ga 6.520 0.000 3.421
Hg 1.898 0.000 4.388
Hg 4.766 0.000 1.207
Hg 1.721 0.000 8.951
Hg 4.590 0.000 5.770


2.
16
Lattice="-4.000 4.000 7.519 4.000 -4.000 7.519 4.000 4.000 -7.519" Properties=species:S:1:pos:R:3 comment="Ca5Ga2Hg GGA-PBE optimized geometry" ef_ev_per_atom=-0.41 sg=I4/mcm e_tot_ev_per_atom=-2.453 pbc="T T T"
Ca 0.000 0.000 0.000
Ca 5.378 1.378 -2.133
Ca 1.378 2.622 -2.133
Ca 5.378 1.378 2.133
Ca 1.378 2.622 2.133
Ca 0.000 0.000 7.519
Ca 2.622 1.378 5.386
Ca -1.378 2.622 5.386
Ca 2.622 1.378 9.652
Ca -1.378 2.622 9.652
Ga 3.081 0.918 0.000
Ga 3.081 -0.918 7.519
Ga 0.918 4.918 0.000
Ga 0.918 3.081 7.519
Hg 0.000 0.000 3.759
Hg 0.000 0.000 11.278


What did the first record say?
10
Lattice="5.678 -2.286 0.000 5.678 2.286 0.000 -4.868 0.000 10.158" Properties=species:S:1:pos:R:3 comment="Ca2GaHg2 GGA-PBE optimized geometry" polymorph_energy_ev_per_fu=0.00 ef_ev_per_atom=-0.47 sg=C2/m e_tot_ev_per_atom=-1.997 pbc="T T T"
Ca -1.495 0.000 3.472
Ca 1.602 0.000 1.094
Ca 4.886 0.000 9.064
Ca 7.982 0.000 6.686
Ga -0.032 0.000 6.737
Ga 6.520 0.000 3.421
Hg 1.898 0.000 4.388
Hg 4.766 0.000 1.207
Hg 1.721 0.000 8.951
Hg 4.590 0.000 5.770